The following is a DFT calculation (PBE) of an optimized crystal structure of Ho5Tl2Os.

Properties
**Relative energy among the computed polymorphs**: 0.0000 eV/atom
**Crystal system**: orthorhombic
**Space-group type**: Pbam, No. 55
**Magnetic moment**: 0.00 μB/atom
**Calculated formation energy**: -0.3053 eV/atom

abc: 4.9097 6.8490 12.5588
angles: 90.00 90.00 90.00
With the nearest neighbours (Å) after each atom.
Positions (direct):
Ho  0.0000  0.0000  0.5000  4 Tl 3.26, 2 Os 3.42, 4 Ho 3.48
Ho  0.0000  0.5000  0.0000  4 Tl 3.26, 2 Os 3.42, 4 Ho 3.48
Ho  0.0000  0.8799  0.2098  1 Os 2.76
Ho  0.0000  0.1201  0.7902  1 Os 2.76
Ho  0.0000  0.6201  0.7098  1 Os 2.76
Ho  0.0000  0.3799  0.2902  1 Os 2.76
Ho  0.5000  0.6739  0.4157  2 Os 2.93, 2 Tl 3.12-3.23, 1 Ho 3.19
Ho  0.5000  0.3261  0.5843  2 Os 2.93, 2 Tl 3.12-3.23, 1 Ho 3.19
Ho  0.5000  0.8261  0.9157  2 Os 2.93, 2 Tl 3.12-3.23, 1 Ho 3.19
Ho  0.5000  0.1739  0.0843  2 Os 2.93, 2 Tl 3.12-3.23, 1 Ho 3.19
Tl  0.5000  0.6074  0.1610  9 Ho 3.12-3.42
Tl  0.5000  0.3926  0.8390  9 Ho 3.12-3.42
Tl  0.5000  0.8926  0.6610  9 Ho 3.12-3.42
Tl  0.5000  0.1074  0.3390  9 Ho 3.12-3.42
Os  0.0000  0.5000  0.5000  6 Ho 2.76-2.93
Os  0.0000  0.0000  0.0000  6 Ho 2.76-2.93

***

The following is a DFT calculation (PBE) of an optimized crystal structure of SrLi2ThBr8.

Properties
**Crystal system**: triclinic
**Space-group type**: P-1, No. 2
**Magnetic moment**: 0.00 μB/atom
**DFT total energy**: -47.2 eV per formula unit

abc: 7.0702 7.3533 9.1140
angles: 72.39 90.39 101.20
With the nearest neighbours (Å) after each atom.
Positions (direct):
Sr  0.0000  0.0000  0.5000  6 Br 3.02-3.17
Li  0.5374  0.3631  0.6736  4 Br 2.51-2.71
Li  0.4626  0.6369  0.3264  4 Br 2.51-2.71
Th  0.0000  0.0000  0.0000  6 Br 2.82-2.92
Br  0.1259  0.7655  0.2892  1 Li 2.71, 1 Th 2.92
Br  0.6344  0.7486  0.0595  1 Li 2.55, 1 Th 2.82
Br  0.8838  0.2231  0.1771  1 Th 2.85, 1 Sr 3.10
Br  0.8741  0.2345  0.7108  1 Li 2.71, 1 Th 2.92
Br  0.3656  0.2514  0.9405  1 Li 2.55, 1 Th 2.82
Br  0.1162  0.7769  0.8229  1 Th 2.85, 1 Sr 3.10
Br  0.6088  0.7300  0.5521  2 Li 2.51-2.54
Br  0.3912  0.2700  0.4479  2 Li 2.51-2.54

***

The following is a DFT calculation (PBE) of an optimized crystal structure of LiCd6Sn.

Properties
**Relative energy among the computed polymorphs**: 0.1656 eV/atom
**Crystal system**: trigonal
**Space-group type**: R-3m, No. 166
**Magnetic moment**: 0.00 μB/atom
**Calculated formation energy**: 0.1092 eV/atom

abc: 5.8077 5.8077 8.6494
angles: 70.38 70.38 60.00
With the nearest neighbours (Å) after each atom.
Positions (direct):
Li  0.0000  0.0000  0.0000  6 Cd 2.91
Cd  0.9309  0.9309  0.7032  4 Cd 2.88-2.93, 1 Li 2.91
Cd  0.4350  0.9309  0.7032  4 Cd 2.88-2.93, 1 Li 2.91
Cd  0.0691  0.5650  0.2968  4 Cd 2.88-2.93, 1 Li 2.91
Cd  0.5650  0.0691  0.2968  4 Cd 2.88-2.93, 1 Li 2.91
Cd  0.0691  0.0691  0.2968  4 Cd 2.88-2.93, 1 Li 2.91
Cd  0.9309  0.4350  0.7032  4 Cd 2.88-2.93, 1 Li 2.91
Sn  0.5000  0.5000  0.5000  12 Cd 3.33

***

The following is a DFT calculation (PBE) of an optimized crystal structure of La12Pr2Tm5.

Properties
**Crystal system**: monoclinic
**Space-group type**: C2/m, No. 12
**Magnetic moment**: 0.00 μB/atom
**Calculated formation energy**: 0.1041 eV/atom

abc: 11.8496 8.9176 9.5344
angles: 70.08 90.00 131.64
With the nearest neighbours (Å) after each atom.
Positions (direct):
La  0.0993  0.1986  0.0794  5 La 3.60-3.87, 4 Tm 3.60-3.83, 2 Pr 3.86
La  0.0481  0.5734  0.8108  3 La 3.29-3.43, 2 Tm 3.41-3.60, 1 Pr 3.45
La  0.5253  0.5734  0.8108  3 La 3.29-3.43, 2 Tm 3.41-3.60, 1 Pr 3.45
La  0.1531  0.7900  0.4080  4 La 3.43-3.78, 1 Pr 3.50, 4 Tm 3.52-3.79
La  0.6370  0.7900  0.4080  4 La 3.43-3.78, 1 Pr 3.50, 4 Tm 3.52-3.79
La  0.4361  0.8722  0.7698  4 La 3.38-3.56, 2 Tm 3.47-3.67, 2 Pr 3.68
La  0.5639  0.1278  0.2302  4 La 3.38-3.56, 2 Tm 3.47-3.67, 2 Pr 3.68
La  0.8469  0.2100  0.5920  4 La 3.43-3.78, 1 Pr 3.50, 4 Tm 3.52-3.79
La  0.3630  0.2100  0.5920  4 La 3.43-3.78, 1 Pr 3.50, 4 Tm 3.52-3.79
La  0.9519  0.4266  0.1892  3 La 3.29-3.43, 2 Tm 3.41-3.60, 1 Pr 3.45
La  0.4747  0.4266  0.1892  3 La 3.29-3.43, 2 Tm 3.41-3.60, 1 Pr 3.45
La  0.9007  0.8014  0.9206  5 La 3.60-3.87, 4 Tm 3.60-3.83, 2 Pr 3.86
Pr  0.7117  0.0000  0.0000  8 La 3.45-3.86, 2 Tm 3.59
Pr  0.2883  0.0000  0.0000  8 La 3.45-3.86, 2 Tm 3.59
Tm  0.2171  0.4343  0.6381  2 Tm 3.47-3.69, 9 La 3.52-3.83
Tm  0.3016  0.6031  0.2358  6 La 3.41-3.79, 2 Tm 3.47-3.64, 2 Pr 3.59
Tm  0.0000  0.0000  0.5000  6 La 3.60-3.63, 4 Tm 3.64-3.69
Tm  0.6984  0.3969  0.7642  6 La 3.41-3.79, 2 Tm 3.47-3.64, 2 Pr 3.59
Tm  0.7829  0.5657  0.3619  2 Tm 3.47-3.69, 9 La 3.52-3.83

***

The following is a DFT calculation (PBE) of an optimized crystal structure of CdAgPbCl6.

Properties
**Crystal system**: tetragonal
**Space-group type**: P4_2nm, No. 102
**Magnetic moment**: 0.00 μB/atom
**DFT total energy**: -25.8 eV per formula unit

abc: 6.4064 6.4064 12.2527
angles: 90.00 90.00 90.00
With the nearest neighbours (Å) after each atom.
Positions (direct):
Cd  0.5000  0.5000  0.8325  6 Cl 2.67-2.69
Cd  0.0000  0.0000  0.3325  6 Cl 2.67-2.69
Ag  0.5000  0.5000  0.1665  6 Cl 2.65-2.71
Ag  0.0000  0.0000  0.6665  6 Cl 2.65-2.71
Pb  0.5000  0.5000  0.4990  6 Cl 2.80-2.82
Pb  0.0000  0.0000  0.9990  6 Cl 2.80-2.82
Cl  0.1890  0.8110  0.5019  1 Ag 2.65, 1 Cd 2.69, 1 Pb 2.82
Cl  0.8110  0.1890  0.5019  1 Ag 2.65, 1 Cd 2.69, 1 Pb 2.82
Cl  0.3110  0.3110  0.0019  1 Ag 2.65, 1 Cd 2.69, 1 Pb 2.82
Cl  0.6890  0.6890  0.0019  1 Ag 2.65, 1 Cd 2.69, 1 Pb 2.82
Cl  0.2011  0.7989  0.1730  1 Cd 2.67, 1 Ag 2.71, 1 Pb 2.80
Cl  0.7989  0.2011  0.1730  1 Cd 2.67, 1 Ag 2.71, 1 Pb 2.80
Cl  0.2989  0.2989  0.6730  1 Cd 2.67, 1 Ag 2.71, 1 Pb 2.80
Cl  0.7011  0.7011  0.6730  1 Cd 2.67, 1 Ag 2.71, 1 Pb 2.80
Cl  0.7957  0.2043  0.8261  1 Cd 2.68, 1 Ag 2.69, 1 Pb 2.81
Cl  0.2043  0.7957  0.8261  1 Cd 2.68, 1 Ag 2.69, 1 Pb 2.81
Cl  0.7043  0.7043  0.3261  1 Cd 2.68, 1 Ag 2.69, 1 Pb 2.81
Cl  0.2957  0.2957  0.3261  1 Cd 2.68, 1 Ag 2.69, 1 Pb 2.81

***

The following is a DFT calculation (PBE) of an optimized crystal structure of LiFeP.

Properties
**Crystal system**: tetragonal
**Space-group type**: P4/nmm, No. 129
**Magnetic moment**: 0.48 μB/atom
**Calculated formation energy**: -0.3432 eV/atom

abc: 3.2840 3.2840 6.4359
angles: 90.00 90.00 90.00
With the nearest neighbours (Å) after each atom.
Positions (direct):
Li  0.0000  0.0000  0.5000  4 Li 2.32, 4 P 2.45
Li  0.5000  0.5000  0.5000  4 Li 2.32, 4 P 2.45
Fe  0.5000  0.0000  0.1251  5 P 2.21-2.40
Fe  0.0000  0.5000  0.8749  5 P 2.21-2.40
P  0.5000  0.0000  0.7822  5 Fe 2.21-2.40, 4 Li 2.45
P  0.0000  0.5000  0.2178  5 Fe 2.21-2.40, 4 Li 2.45

***

The following is a DFT calculation (PBE) of an optimized crystal structure of Sr2H8Ru.

Properties
**Crystal system**: monoclinic
**Space-group type**: C2/m, No. 12
**Magnetic moment**: 0.00 μB/atom
**DFT total energy**: -42.3 eV per formula unit

abc: 3.3697 4.4580 8.0240
angles: 106.70 102.12 90.00
With the nearest neighbours (Å) after each atom.
Positions (direct):
Sr  0.8471  0.3460  0.6942  8 H 2.36-2.57
Sr  0.1529  0.6540  0.3058  8 H 2.36-2.57
H  0.4570  0.6117  0.9141  1 Ru 1.66
H  0.6103  0.0158  0.2205  1 Ru 1.71
H  0.7630  0.7603  0.5260  4 Sr 2.36-2.57, 2 H 2.57
H  0.9981  0.1785  0.9962  1 H 1.61
H  0.2370  0.2397  0.4740  4 Sr 2.36-2.57, 2 H 2.57
H  0.3897  0.9842  0.7795  1 Ru 1.71
H  0.5430  0.3883  0.0859  1 Ru 1.66
H  0.0019  0.8215  0.0038  1 H 1.61
Ru  0.5000  0.0000  0.0000  4 H 1.66-1.71

***

The following is a DFT calculation (PBE) of an optimized crystal structure of MnAgRh.

Properties
**Relative energy among the computed polymorphs**: 0.0590 eV/atom
**Crystal system**: tetragonal
**Space-group type**: I4mm, No. 107
**Magnetic moment**: 1.37 μB/atom
**Calculated formation energy**: 0.1048 eV/atom

abc: 5.5192 5.5192 5.5192
angles: 148.08 148.08 45.76
With the nearest neighbours (Å) after each atom.
Positions (direct):
Ag  0.9963  0.9963  0.0000  4 Mn 2.80, 4 Rh 2.88, 4 Ag 3.04
Mn  0.3189  0.3189  0.0000  4 Rh 2.54, 4 Ag 2.80
Rh  0.6848  0.6848  0.0000  4 Mn 2.54

***

The following is a DFT calculation (PBE) of an optimized crystal structure of TeAsRhI2.

Properties
**Relative energy among the computed polymorphs**: 0.0000 eV/atom
**Crystal system**: tetragonal
**Space-group type**: P4/mmm, No. 123
**Magnetic moment**: 0.00 μB/atom

abc: 5.3259 5.3259 5.2042
angles: 90.00 90.00 90.00
With the nearest neighbours (Å) after each atom.
Positions (direct):
I  0.0000  0.5000  0.0000  2 Rh 2.66
I  0.5000  0.0000  0.0000  2 Rh 2.66
As  0.5000  0.5000  0.5000  8 I 3.72, 4 Te 3.77
Te  0.0000  0.0000  0.5000  2 Rh 2.60
Rh  0.0000  0.0000  0.0000  2 Te 2.60, 4 I 2.66

***

The following is a DFT calculation (PBE) of an optimized crystal structure of ErHgBi2O4.

Properties
**Crystal system**: tetragonal
**Space-group type**: P4/mmm, No. 123
**Magnetic moment**: 0.00 μB/atom
**DFT total energy**: -46.0 eV per formula unit

abc: 3.8933 3.8933 9.6436
angles: 90.00 90.00 90.00
With the nearest neighbours (Å) after each atom.
Positions (direct):
Er  0.0000  0.0000  0.0000  8 O 2.38
Hg  0.0000  0.0000  0.5000  8 Bi 3.59, 4 Hg 3.89, 8 O 3.97
Bi  0.5000  0.5000  0.2604  4 O 2.26
Bi  0.5000  0.5000  0.7396  4 O 2.26
O  0.0000  0.5000  0.1413  2 Bi 2.26, 2 Er 2.38
O  0.5000  0.0000  0.8587  2 Bi 2.26, 2 Er 2.38
O  0.5000  0.0000  0.1413  2 Bi 2.26, 2 Er 2.38
O  0.0000  0.5000  0.8587  2 Bi 2.26, 2 Er 2.38

***

The following is a DFT calculation (PBE) of an optimized crystal structure of In2SiNi.

Properties
**Crystal system**: tetragonal
**Space-group type**: P4mm, No. 99
**Magnetic moment**: 0.00 μB/atom
**DFT total energy**: -16.6 eV per formula unit

abc: 3.0568 3.0568 8.1406
angles: 90.00 90.00 89.99
With the nearest neighbours (Å) after each atom.
Positions (direct):
In  0.0000  0.0000  0.9627  4 In 3.06, 4 Si 3.17, 1 Ni 3.34
In  0.5000  0.5000  0.3074  4 Ni 2.94, 1 Si 3.01, 4 In 3.06
Ni  0.0000  0.0000  0.5527  4 Si 2.39
Si  0.5000  0.5000  0.6773  4 Ni 2.39

***

The following is a DFT calculation (PBE) of an optimized crystal structure of TbNdDyGa.

Properties
**Crystal system**: cubic
**Space-group type**: F-43m, No. 216
**Magnetic moment**: 0.29 μB/atom
**Calculated formation energy**: -0.0766 eV/atom

abc: 5.3845 5.3845 5.3845
angles: 60.00 60.00 60.00
With the nearest neighbours (Å) after each atom.
Positions (direct):
Nd  0.5000  0.5000  0.5000  4 Tb 3.30, 4 Ga 3.30
Tb  0.7500  0.7500  0.7500  4 Dy 3.30, 4 Nd 3.30
Ga  0.2500  0.2500  0.2500  4 Dy 3.30, 4 Nd 3.30
Dy  0.0000  0.0000  0.0000  4 Ga 3.30, 4 Tb 3.30

***

The following is a DFT calculation (PBE) of an optimized crystal structure of HfZrFe.

Properties
**Relative energy among the computed polymorphs**: 0.0000 eV/atom
**Crystal system**: monoclinic
**Space-group type**: C2/m, No. 12
**Magnetic moment**: 0.00 μB/atom
**Calculated formation energy**: -0.1556 eV/atom

abc: 3.4108 6.2963 5.7862
angles: 97.10 107.10 105.68
With the nearest neighbours (Å) after each atom.
Positions (direct):
Hf  0.9059  0.5742  0.2376  3 Fe 2.53-2.72
Hf  0.0941  0.4258  0.7624  3 Fe 2.53-2.72
Zr  0.7813  0.8695  0.6930  4 Fe 2.58-2.87
Zr  0.2187  0.1305  0.3070  4 Fe 2.58-2.87
Fe  0.4629  0.8275  0.0981  3 Hf 2.53-2.72, 1 Fe 2.56, 2 Zr 2.58-2.59
Fe  0.5371  0.1725  0.9019  3 Hf 2.53-2.72, 1 Fe 2.56, 2 Zr 2.58-2.59

***

The following is a DFT calculation (PBE) of an optimized crystal structure of LiZn2TcBi.

Properties
**Crystal system**: tetragonal
**Space-group type**: P4/mmm, No. 123
**Magnetic moment**: 0.00 μB/atom
**Calculated formation energy**: 0.3173 eV/atom

abc: 4.9579 5.1339 4.9579
angles: 90.00 90.00 90.00
With the nearest neighbours (Å) after each atom.
Positions (direct):
Zn  0.0000  0.0000  0.5000  2 Tc 2.48
Zn  0.5000  0.0000  0.0000  2 Tc 2.48
Li  0.5000  0.5000  0.5000  4 Bi 3.51, 8 Zn 3.57
Bi  0.0000  0.5000  0.0000  2 Tc 2.57
Tc  0.0000  0.0000  0.0000  4 Zn 2.48, 2 Bi 2.57

***

The following is a DFT calculation (PBE) of an optimized crystal structure of Hg2PbBr.

Properties
**Relative energy among the computed polymorphs**: 0.0827 eV/atom
**Crystal system**: trigonal
**Space-group type**: R3m, No. 160
**Magnetic moment**: 0.00 μB/atom

abc: 4.0999 4.0999 8.7727
angles: 76.49 76.49 60.00
With the nearest neighbours (Å) after each atom.
Positions (direct):
Hg  0.0834  0.0834  0.7498  3 Br 3.15, 3 Pb 3.16
Hg  0.2505  0.2505  0.2485  3 Pb 3.17, 3 Br 3.20
Pb  0.6672  0.6672  0.9984  6 Hg 3.16-3.17
Br  0.4989  0.4989  0.5033  6 Hg 3.15-3.20

***

The following is a DFT calculation (PBE) of an optimized crystal structure of LaIr3W.

Properties
**Relative energy among the computed polymorphs**: 0.0000 eV/atom
**Crystal system**: cubic
**Space-group type**: Pm-3m, No. 221
**Magnetic moment**: 0.00 μB/atom
**Calculated formation energy**: 0.4425 eV/atom

abc: 4.8226 4.8226 4.8226
angles: 90.00 90.00 90.00
With the nearest neighbours (Å) after each atom.
Positions (direct):
Ir  0.0000  0.5000  0.0000  2 W 2.41
Ir  0.0000  0.0000  0.5000  2 W 2.41
Ir  0.5000  0.0000  0.0000  2 W 2.41
W  0.0000  0.0000  0.0000  6 Ir 2.41
La  0.5000  0.5000  0.5000  12 Ir 3.41

***

The following is a DFT calculation (PBE) of an optimized crystal structure of CeTlSeS.

Properties
**Crystal system**: trigonal
**Space-group type**: R3m, No. 160
**Magnetic moment**: 0.25 μB/atom
**DFT total energy**: -20.9 eV per formula unit

abc: 4.1126 4.1126 8.3752
angles: 75.79 75.79 60.00
With the nearest neighbours (Å) after each atom.
Positions (direct):
Ce  0.6229  0.6229  0.1314  3 S 2.84, 3 Se 3.01
Tl  0.7889  0.7889  0.6332  3 Se 3.22, 3 S 3.40
Se  0.2125  0.2125  0.3625  3 Ce 3.01, 3 Tl 3.22
S  0.3544  0.3544  0.9369  3 Ce 2.84

***

The following is a DFT calculation (PBE) of an optimized crystal structure of CaCd2Si.

Properties
**Crystal system**: monoclinic
**Space-group type**: P2/m, No. 10
**Magnetic moment**: 0.00 μB/atom
**DFT total energy**: -9.5 eV per formula unit

abc: 4.8380 3.5001 5.6160
angles: 88.10 90.00 90.00
With the nearest neighbours (Å) after each atom.
Positions (direct):
Ca  0.5000  0.7500  0.7500  4 Si 3.26-3.36, 8 Cd 3.29-3.31, 2 Ca 3.50
Cd  0.0000  0.2302  0.9995  2 Si 2.80, 2 Cd 2.80-2.82
Cd  0.0000  0.2698  0.5005  2 Si 2.80, 2 Cd 2.80-2.82
Si  0.5000  0.2500  0.2500  4 Cd 2.80

***

The following is a DFT calculation (PBE) of an optimized crystal structure of BaCuSnPt2.

Properties
**Crystal system**: tetragonal
**Space-group type**: P4/mmm, No. 123
**Magnetic moment**: 0.00 μB/atom
**Calculated formation energy**: -0.1455 eV/atom

abc: 5.1689 4.9007 5.1689
angles: 90.00 90.00 90.00
With the nearest neighbours (Å) after each atom.
Positions (direct):
Cu  0.0000  0.5000  0.0000  2 Sn 2.45
Ba  0.5000  0.5000  0.5000  8 Pt 3.56, 4 Cu 3.65
Pt  0.0000  0.0000  0.5000  2 Sn 2.58
Pt  0.5000  0.0000  0.0000  2 Sn 2.58
Sn  0.0000  0.0000  0.0000  2 Cu 2.45, 4 Pt 2.58

***

The following is a DFT calculation (PBE) of an optimized crystal structure of Ta2CrN3.

Properties
**Crystal system**: orthorhombic
**Space-group type**: Immm, No. 71
**Magnetic moment**: 0.00 μB/atom
**DFT total energy**: -62.3 eV per formula unit

abc: 6.2826 6.2826 6.2826
angles: 153.64 146.22 43.35
With the nearest neighbours (Å) after each atom.
Positions (direct):
Ta  0.3502  0.3502  0.0000  3 N 2.08-2.26
Ta  0.6498  0.6498  0.0000  3 N 2.08-2.26
Cr  0.0000  0.0000  0.0000  4 N 1.83-2.01
N  0.5000  0.0000  0.5000  2 Cr 1.83
N  0.1720  0.1720  0.0000  1 Cr 2.01, 1 Ta 2.08
N  0.8280  0.8280  0.0000  1 Cr 2.01, 1 Ta 2.08